Er4CdAg | PBE-GGA | optimized geometry

It has space group P4/mmm (No. 123), with a = 3.5519 Å, b = 3.5519 Å, c = 12.7574 Å, α = 90.00°, β = 90.00° and γ = 90.00°. The distinct sites, in fractional coordinates, are Er at (0.0000, 0.0000, 0.1451), Er at (0.5000, 0.5000, 0.3379), Cd at (0.0000, 0.0000, 0.5000) and Ag at (0.5000, 0.5000, 0.0000).

The crystal system is tetragonal. For the calculated volume, the calculation gives 26.8 A^3/atom. For the spin magnetization, the calculation gives 2.1 μB per formula unit. The energy relative to the lowest polymorph listed for this composition comes out at 0 meV/atom. For the formation energy, the calculation gives -184 meV per atom.